# 1
VASP calculation (GGA-PBE) on an optimized crystal structure of SmEr2Pb.

Cell lengths 5.4868, 5.4868, 5.4868 Å; angles 60.00, 60.00, 60.00 degrees
Fractional positions:
Pb  0.7500  0.7500  0.7501
Sm  0.4999  0.4999  0.5003
Er  0.0001  0.0001  0.9998
Er  0.2501  0.2501  0.2498

## Properties
offset from the most stable computed form	198	meV per atom
theoretical density	9.8	g cm⁻³
symmetry	F-43m (216)
DOS at the Fermi energy	1.874	states/eV/atom
DFT formation energy	-104	meV per atom

---

# 2
VASP calculation (GGA-PBE) on an optimized crystal structure of Sm3Er2Pb2.

Cell lengths 3.5334, 8.0434, 8.9666 Å; angles 118.98, 101.36, 90.00 degrees
Each line ends with the local moment (μB).
Fractional positions:
Sm  0.0000  0.5000  0.0000  0.13
Sm  0.7869  0.2250  0.5737  0.03
Sm  0.2131  0.7750  0.4263  0.03
Pb  0.4231  0.1034  0.8462  0.00
Pb  0.5769  0.8966  0.1538  0.00
Er  0.1228  0.2769  0.2457  0.00
Er  0.8772  0.7231  0.7543  0.00

## Properties
theoretical density	9.2	g cm⁻³
symmetry	C2/m (12)
DOS at the Fermi energy	1.042	states/eV/atom
DFT formation energy	-137	meV per atom